one.
Density functional theory data (GGA-PBEsol) for a relaxed structure of MnFe2Mo.

abc: 2.5474 3.4567 5.2255
angles: 90.00 90.00 90.00
Closest atoms and distances in Å follow each position.
Element x y z (fractional)
Mn 0.0000 0.0000 0.0000  5 Fe 2.29-2.39, 2 Mn 2.55
Fe 0.0000 0.0000 0.5627  1 Mn 2.29, 6 Fe 2.47-2.55
Fe 0.5000 0.5000 0.7979  4 Mn 2.39, 6 Fe 2.47-2.55, 2 Mo 2.58-2.64
Mo 0.5000 0.5000 0.2919  2 Mo 2.55, 6 Fe 2.57-2.64, 4 Mn 2.63

Results
Space-group type ... Pmm2 (25)
Calculated volume ... 11.50 Å³ per atom

***

two.
Density functional theory data (GGA-PBEsol) for a relaxed structure of MnFe2Mo.

abc: 4.7684 4.7684 4.7684
angles: 143.61 131.12 62.44
Closest atoms and distances in Å follow each position.
Element x y z (fractional)
Mn 0.0000 0.0000 0.0000  4 Mo 2.47, 4 Fe 2.51
Fe 0.2478 0.7478 0.5000  4 Fe 2.47, 2 Mn 2.51, 2 Mo 2.54
Fe 0.7522 0.2522 0.5000  4 Fe 2.47, 2 Mn 2.51, 2 Mo 2.54
Mo 0.5000 0.5000 0.0000  4 Mn 2.47, 4 Fe 2.54

Results
Space-group type ... Immm (71)
Calculated volume ... 11.98 Å³ per atom

***

three.
Density functional theory data (GGA-PBEsol) for a relaxed structure of MnFe2Mo.

abc: 4.0659 4.0659 4.0659
angles: 60.00 60.00 60.00
Closest atoms and distances in Å follow each position.
Element x y z (fractional)
Mn 0.0000 0.0000 0.0000  4 Mo 2.49, 4 Fe 2.49
Fe 0.2500 0.2500 0.2500  4 Mn 2.49, 4 Fe 2.49
Fe 0.5000 0.5000 0.5000  4 Fe 2.49, 4 Mo 2.49
Mo 0.7500 0.7500 0.7500  4 Mn 2.49, 4 Fe 2.49

Results
Space-group type ... F-43m (216)
Calculated volume ... 11.88 Å³ per atom

***

four.
Density functional theory data (GGA-PBEsol) for a relaxed structure of MnFe2Mo.

abc: 4.0655 4.0655 4.0655
angles: 60.00 60.00 60.00
Closest atoms and distances in Å follow each position.
Element x y z (fractional)
Mn 0.0000 0.0000 0.0000  8 Fe 2.49
Fe 0.2500 0.2500 0.2500  4 Mo 2.49, 4 Mn 2.49
Fe 0.7500 0.7500 0.7500  4 Mo 2.49, 4 Mn 2.49
Mo 0.5000 0.5000 0.5000  8 Fe 2.49

Results
Space-group type ... Fm-3m (225)
Calculated volume ... 11.88 Å³ per atom

***

Stability ranking, top and bottom: three is the most stable and one is the least stable.

***

one.
Density functional theory data (GGA-PBEsol) for a relaxed structure of Mn2FeNi.

abc: 3.9868 3.9868 3.9868
angles: 60.00 60.00 60.00
Closest atoms and distances in Å follow each position.
Element x y z (fractional)
Mn 0.2500 0.2500 0.2500  4 Ni 2.44, 4 Fe 2.44
Mn 0.7500 0.7500 0.7500  4 Ni 2.44, 4 Fe 2.44
Fe 0.0000 0.0000 0.0000  8 Mn 2.44
Ni 0.5000 0.5000 0.5000  8 Mn 2.44

Results
Space-group type ... Fm-3m (225)
Calculated volume ... 11.20 Å³ per atom

***

two.
Density functional theory data (GGA-PBEsol) for a relaxed structure of Mn2FeNi.

abc: 2.4243 2.4243 7.0141
angles: 90.00 90.00 90.00
Closest atoms and distances in Å follow each position.
Element x y z (fractional)
Mn 0.0000 0.0000 0.2435  4 Fe 2.42, 4 Mn 2.42, 4 Ni 2.48
Mn 0.0000 0.0000 0.7565  4 Fe 2.42, 4 Mn 2.42, 4 Ni 2.48
Fe 0.5000 0.5000 0.0000  8 Mn 2.42, 4 Fe 2.42
Ni 0.5000 0.5000 0.5000  4 Ni 2.42, 8 Mn 2.48

Results
Space-group type ... P4/mmm (123)
Calculated volume ... 10.31 Å³ per atom

***

Stability ranking, top and bottom: two is the most stable and one is the least stable.

***

one.
Density functional theory data (GGA-PBEsol) for a relaxed structure of MnFe2Re.

abc: 4.3780 4.3780 2.5465
angles: 90.00 90.00 109.68
Closest atoms and distances in Å follow each position.
Element x y z (fractional)
Mn 0.0000 0.0000 0.0000  2 Re 2.52, 8 Fe 2.53, 2 Mn 2.55
Fe 0.0000 0.5000 0.5000  4 Fe 2.52-2.55, 4 Re 2.53, 4 Mn 2.53
Fe 0.5000 0.0000 0.5000  4 Fe 2.52-2.55, 4 Re 2.53, 4 Mn 2.53
Re 0.5000 0.5000 0.0000  2 Mn 2.52, 8 Fe 2.53, 2 Re 2.55

Results
Space-group type ... Cmmm (65)
Calculated volume ... 11.49 Å³ per atom

***

two.
Density functional theory data (GGA-PBEsol) for a relaxed structure of MnFe2Re.

abc: 8.2540 8.2540 8.2540
angles: 17.86 17.86 17.86
Closest atoms and distances in Å follow each position.
Element x y z (fractional)
Mn 0.0000 0.0000 0.0000  6 Fe 2.42, 6 Mn 2.56
Fe 0.2548 0.2548 0.2548  3 Mn 2.42, 6 Fe 2.56, 3 Re 2.61
Fe 0.7452 0.7452 0.7452  3 Mn 2.42, 6 Fe 2.56, 3 Re 2.61
Re 0.5000 0.5000 0.5000  6 Re 2.56, 6 Fe 2.61

Results
Space-group type ... R-3m (166)
Calculated volume ... 11.54 Å³ per atom

***

Stability ranking, top and bottom: one is the most stable and two is the least stable.

***

one.
Density functional theory data (GGA-PBEsol) for a relaxed structure of MnFeRu.

abc: 3.8081 3.8081 3.8081
angles: 60.00 60.00 60.00
Closest atoms and distances in Å follow each position.
Element x y z (fractional)
Mn 0.0000 0.0000 0.0000  4 Fe 2.33, 4 Ru 2.33
Fe 0.2500 0.2500 0.2500  4 Mn 2.33
Ru 0.7500 0.7500 0.7500  4 Mn 2.33

Results
Space-group type ... F-43m (216)
Calculated volume ... 13.02 Å³ per atom

***

two.
Density functional theory data (GGA-PBEsol) for a relaxed structure of MnFeRu.

abc: 3.9155 3.9155 2.5465
angles: 90.00 90.00 120.00
Closest atoms and distances in Å follow each position.
Element x y z (fractional)
Mn 0.0000 0.0000 0.0000  3 Fe 2.26
Fe 0.6667 0.3333 0.0000  3 Mn 2.26
Ru 0.3333 0.6667 0.5000  2 Ru 2.55, 6 Mn 2.59, 6 Fe 2.59

Results
Space-group type ... P-6m2 (187)
Calculated volume ... 11.27 Å³ per atom

***

Stability ranking, top and bottom: two is the most stable and one is the least stable.

***

one.
Density functional theory data (GGA-PBEsol) for a relaxed structure of MnFe2Tc.

abc: 4.0457 4.0457 4.0457
angles: 60.00 60.00 60.00
Closest atoms and distances in Å follow each position.
Element x y z (fractional)
Mn 0.0000 0.0000 0.0000  4 Fe 2.48, 4 Tc 2.48
Fe 0.2500 0.2500 0.2500  4 Fe 2.48, 4 Mn 2.48
Fe 0.5000 0.5000 0.5000  4 Tc 2.48, 4 Fe 2.48
Tc 0.7500 0.7500 0.7500  4 Fe 2.48, 4 Mn 2.48

Results
Space-group type ... F-43m (216)
Calculated volume ... 11.71 Å³ per atom

***

two.
Density functional theory data (GGA-PBEsol) for a relaxed structure of MnFe2Tc.

abc: 4.0234 4.0234 2.8814
angles: 90.00 90.00 90.00
Closest atoms and distances in Å follow each position.
Element x y z (fractional)
Mn 0.0000 0.0000 0.0000  8 Fe 2.47
Fe 0.0000 0.5000 0.5000  4 Mn 2.47, 4 Tc 2.47
Fe 0.5000 0.0000 0.5000  4 Mn 2.47, 4 Tc 2.47
Tc 0.5000 0.5000 0.0000  8 Fe 2.47

Results
Space-group type ... P4/mmm (123)
Calculated volume ... 11.66 Å³ per atom

***

Stability ranking, top and bottom: one is the most stable and two is the least stable.

***

one.
Density functional theory data (GGA-PBEsol) for a relaxed structure of MnFeTe.

abc: 4.6326 4.6326 4.6326
angles: 137.37 137.37 61.86
Closest atoms and distances in Å follow each position.
Element x y z (fractional)
Mn 0.0000 0.0000 0.0000  5 Te 2.62-2.74, 5 Fe 2.69-2.73
Fe 0.3437 0.3437 0.0000  5 Te 2.60-2.75, 5 Mn 2.69-2.73
Te 0.6707 0.6707 0.0000  5 Fe 2.60-2.75, 5 Mn 2.62-2.74

Results
Space-group type ... I4mm (107)
Calculated volume ... 15.02 Å³ per atom

***

two.
Density functional theory data (GGA-PBEsol) for a relaxed structure of MnFeTe.

abc: 4.1235 4.1235 3.0893
angles: 90.00 90.00 120.00
Closest atoms and distances in Å follow each position.
Element x y z (fractional)
Mn 0.0000 0.0000 0.0000  6 Fe 2.84, 6 Te 2.84, 2 Mn 3.09
Fe 0.3333 0.6667 0.5000  3 Te 2.38
Te 0.6667 0.3333 0.5000  3 Fe 2.38

Results
Space-group type ... P-6m2 (187)
Calculated volume ... 15.16 Å³ per atom

***

Stability ranking, top and bottom: one is the most stable and two is the least stable.